1.
# AcPmDy2Ho4

A relaxed AcPmDy2Ho4 crystal (PBE-GGA, Alexandria via LeMat-Bulk).

Summary:
energy of formation: 0.45 eV per atom
DOS(E_F): 2.30 states/eV per atom
ρ: 8.2 Mg/m³

abc: 13.752 13.423 6.903
angles: 90.00 120.11 90.00
Space group C2/c (No. 15)
Symmetry-distinct sites (fractional):
Ac1 0.250 0.250 0.000
Pm1 0.000 0.000 0.000
Dy1 0.000 0.500 0.000
Dy2 0.250 0.250 0.500
Ho1 0.000 0.253 0.013
Ho2 0.247 0.491 0.495



2.
# CuSi2Ni

A relaxed CuSi2Ni crystal (PBE-GGA, Alexandria via LeMat-Bulk).

Summary:
DOS(E_F): 0.24 states/eV per atom
E_form (uncorrected): 0.051 eV/atom
ρ: 5.9 Mg/m³

abc: 2.7888 2.7888 22.4182
angles: 90.00 90.00 120.00
Space group R3m (No. 160, hexagonal axes)
Symmetry-distinct sites (fractional):
Cu1 0.0000 0.0000 0.0000
Si1 0.0000 0.0000 0.5048
Si2 0.0000 0.0000 0.7480
Ni1 0.0000 0.0000 0.2435



3.
# Nd2Sm4Th3

A relaxed Nd2Sm4Th3 crystal (PBE-GGA, Alexandria via LeMat-Bulk).

Summary:
energy of formation: 0.08 eV per atom
DOS(E_F): 1.99 states/eV per atom
ρ: 8.6 Mg/m³

abc: 3.5996 3.5996 27.1437
angles: 90.00 90.00 120.00
Space group P3m1 (No. 156)
Symmetry-distinct sites (fractional):
Nd1 0.0000 0.0000 0.0000
Nd2 0.0000 0.0000 0.2177
Sm1 0.0000 0.0000 0.3445
Sm2 0.0000 0.0000 0.5597
Sm3 0.3333 0.6667 0.6705
Sm4 0.3333 0.6667 0.8868
Th1 0.0000 0.0000 0.7788
Th2 0.3333 0.6667 0.1100
Th3 0.3333 0.6667 0.4503



4.
# Pr4HgPt

A relaxed Pr4HgPt crystal (PBE-GGA, Alexandria via LeMat-Bulk).

Summary:
energy of formation: -0.40 eV per atom
DOS(E_F): 1.47 states/eV per atom
relative energy among the computed polymorphs: 168 meV/atom
ρ: 7.8 Mg/m³

abc: 7.493 7.449 7.323
angles: 90.00 93.54 90.00
Space group P2_1/c (No. 14)
Symmetry-distinct sites (fractional):
Pr1 0.147 0.159 0.176
Pr2 0.332 0.646 0.125
Hg1 0.500 0.000 0.000
Pt1 0.000 0.000 0.500



5.
# TmSnPb2

A relaxed TmSnPb2 crystal (PBE-GGA, Alexandria via LeMat-Bulk).

Summary:
energy of formation: -0.19 eV per atom
DOS(E_F): 0.40 states/eV per atom
relative energy among the computed polymorphs: 70 meV/atom
ρ: 10.3 Mg/m³

abc: 4.180 4.180 6.486
angles: 90.00 90.00 90.00
Space group P4/mmm (No. 123)
Symmetry-distinct sites (fractional):
Tm1 0.000 0.000 0.000
Sn1 0.000 0.000 0.500
Pb1 0.500 0.500 0.247



6.
# Si2PAu

A relaxed Si2PAu crystal (PBE-GGA, Alexandria via LeMat-Bulk).

Summary:
DOS(E_F): 0.64 states/eV per atom
E_form (uncorrected): 0.574 eV/atom
ρ: 7.2 Mg/m³

abc: 4.251 4.251 7.204
angles: 90.00 90.00 90.00
Space group I-4m2 (No. 119)
Symmetry-distinct sites (fractional):
Si1 0.000 0.000 0.000
Si2 0.000 0.500 0.250
P1 0.000 0.000 0.500
Au1 0.000 0.500 0.750



7.
# Cu2ReBRu

A relaxed Cu2ReBRu crystal (PBE-GGA, Alexandria via LeMat-Bulk).

Summary:
energy of formation: 0.57 eV per atom
DOS(E_F): 1.06 states/eV per atom
ρ: 11.2 Mg/m³

abc: 3.898 3.898 4.163
angles: 90.00 90.00 90.00
Space group P4/mmm (No. 123)
Symmetry-distinct sites (fractional):
Cu1 0.000 0.500 0.000
Re1 0.000 0.000 0.500
B1 0.000 0.000 0.000
Ru1 0.500 0.500 0.500



8.
# MgZnO3

A relaxed MgZnO3 crystal (PBE-GGA, Alexandria via LeMat-Bulk).

Summary:
DOS(E_F): 0.53 states/eV per atom
E_form (uncorrected): -0.631 eV/atom
ρ: 4.1 Mg/m³

abc: 3.811 3.811 3.811
angles: 90.00 90.00 90.00
Space group Pm-3m (No. 221)
Symmetry-distinct sites (fractional):
Mg1 0.000 0.000 0.000
Zn1 0.500 0.500 0.500
O1 0.000 0.000 0.500



9.
# Ca2SbPt

A relaxed Ca2SbPt crystal (PBE-GGA, Alexandria via LeMat-Bulk).

Summary:
DOS(E_F): 1.06 states/eV per atom
E_form (uncorrected): -0.583 eV/atom
ρ: 5.8 Mg/m³

abc: 4.175 4.175 6.506
angles: 90.00 90.00 90.00
Space group P4mm (No. 99)
Symmetry-distinct sites (fractional):
Ca1 0.000 0.000 0.000
Ca2 0.500 0.500 0.358
Sb1 0.500 0.500 0.830
Pt1 0.000 0.000 0.435



10.
# ErPuTh2

A relaxed ErPuTh2 crystal (PBE-GGA, Alexandria via LeMat-Bulk).

Summary:
energy of formation: 0.21 eV per atom
DOS(E_F): 2.89 states/eV per atom
relative energy among the computed polymorphs: 124 meV/atom
ρ: 11.7 Mg/m³

abc: 3.4696 3.4696 35.7639
angles: 90.00 90.00 120.00
Space group R3m (No. 160, hexagonal axes)
Symmetry-distinct sites (fractional):
Er1 0.0000 0.0000 0.0000
Pu1 0.0000 0.0000 0.1610
Th1 0.0000 0.0000 0.4131
Th2 0.0000 0.0000 0.9067



11.
# CaTe2Pt

A relaxed CaTe2Pt crystal (PBE-GGA, Alexandria via LeMat-Bulk).

Summary:
DOS(E_F): 0.33 states/eV per atom
relative energy among the computed polymorphs: 363 meV/atom
E_form (uncorrected): -0.495 eV/atom
ρ: 6.9 Mg/m³

abc: 4.176 7.462 7.628
angles: 90.00 90.00 90.00
Space group Cmmm (No. 65)
Symmetry-distinct sites (fractional):
Ca1 0.000 0.000 0.000
Te1 0.000 0.500 0.284
Pt1 0.000 0.000 0.500



12.
# NpAg2Te6Pb3

A relaxed NpAg2Te6Pb3 crystal (PBE-GGA, Alexandria via LeMat-Bulk).

Summary:
DOS(E_F): 0.99 states/eV per atom
E_form (uncorrected): -0.292 eV/atom
ρ: 8.0 Mg/m³

abc: 19.918 4.436 8.912
angles: 90.00 102.92 90.00
Space group C2/m (No. 12)
Symmetry-distinct sites (fractional):
Np1 0.000 0.000 0.000
Ag1 0.178 0.500 0.328
Te1 0.005 0.500 0.764
Te2 0.158 0.000 0.098
Te3 0.168 0.000 0.557
Pb1 0.000 0.000 0.500
Pb2 0.170 0.500 0.818



13.
# Pr2As3Rh4Pb

A relaxed Pr2As3Rh4Pb crystal (PBE-GGA, Alexandria via LeMat-Bulk).

Summary:
energy of formation: -0.76 eV per atom
DOS(E_F): 0.63 states/eV per atom
ρ: 9.5 Mg/m³

abc: 4.212 4.212 11.121
angles: 90.00 90.00 90.00
Space group P-4m2 (No. 115)
Symmetry-distinct sites (fractional):
Pr1 0.000 0.500 0.237
As1 0.000 0.500 0.873
As2 0.500 0.500 0.500
Rh1 0.000 0.000 0.000
Rh2 0.000 0.500 0.658
Rh3 0.500 0.500 0.000
Pb1 0.000 0.000 0.500



14.
# Ba2LaAs

A relaxed Ba2LaAs crystal (PBE-GGA, Alexandria via LeMat-Bulk).

Summary:
energy of formation: -0.57 eV per atom
DOS(E_F): 0.84 states/eV per atom
ρ: 4.7 Mg/m³

abc: 4.020 4.020 10.604
angles: 90.00 90.00 90.00
Space group P4mm (No. 99)
Symmetry-distinct sites (fractional):
Ba1 0.000 0.000 0.000
Ba2 0.500 0.500 0.361
La1 0.000 0.000 0.678
As1 0.500 0.500 0.796



15.
# BaCd

A relaxed BaCd crystal (PBE-GGA, Alexandria via LeMat-Bulk).

Summary:
energy of formation: -0.22 eV per atom
DOS(E_F): 0.87 states/eV per atom
ρ: 5.1 Mg/m³

abc: 13.022 4.555 9.727
angles: 90.00 122.83 90.00
Space group Cm (No. 8)
Symmetry-distinct sites (fractional):
Ba1 0.000 0.000 0.000
Ba2 0.130 0.500 0.744
Ba3 0.354 0.500 0.364
Cd1 0.081 0.500 0.357
Cd2 0.283 0.000 0.610
Cd3 0.311 0.000 0.055



16.
# CrFe2Ir

A relaxed CrFe2Ir crystal (PBE-GGA, Alexandria via LeMat-Bulk).

Summary:
energy of formation: 0.06 eV per atom
DOS(E_F): 1.16 states/eV per atom
ρ: 11.7 Mg/m³

abc: 5.874 5.874 5.874
angles: 90.00 90.00 90.00
Space group F-43m (No. 216)
Symmetry-distinct sites (fractional):
Cr1 0.000 0.000 0.000
Fe1 0.000 0.000 0.500
Fe2 0.250 0.250 0.750
Ir1 0.250 0.250 0.250



17.
# Rb2NaTlHg

A relaxed Rb2NaTlHg crystal (PBE-GGA, Alexandria via LeMat-Bulk).

Summary:
energy of formation: 0.03 eV per atom
DOS(E_F): 0.58 states/eV per atom
ρ: 3.5 Mg/m³

abc: 7.008 7.008 5.757
angles: 90.00 90.00 90.00
Space group P4/mmm (No. 123)
Symmetry-distinct sites (fractional):
Rb1 0.000 0.500 0.000
Na1 0.000 0.000 0.500
Tl1 0.500 0.500 0.500
Hg1 0.500 0.500 0.000



18.
# Cd3SbCl

A relaxed Cd3SbCl crystal (PBE-GGA, Alexandria via LeMat-Bulk).

Summary:
DOS(E_F): 0.21 states/eV per atom
relative energy among the computed polymorphs: 125 meV/atom
E_form (uncorrected): -0.030 eV/atom
ρ: 4.4 Mg/m³

abc: 5.697 5.697 5.697
angles: 90.00 90.00 90.00
Space group Pm-3m (No. 221)
Symmetry-distinct sites (fractional):
Cd1 0.000 0.000 0.500
Sb1 0.000 0.000 0.000
Cl1 0.500 0.500 0.500



19.
# RbMnCu3

A relaxed RbMnCu3 crystal (PBE-GGA, Alexandria via LeMat-Bulk).

Summary:
energy of formation: 1.98 eV per atom
DOS(E_F): 0.70 states/eV per atom
relative energy among the computed polymorphs: 1227 meV/atom
ρ: 3.9 Mg/m³

abc: 5.219 5.219 5.219
angles: 90.00 90.00 90.00
Space group Pm-3m (No. 221)
Symmetry-distinct sites (fractional):
Rb1 0.000 0.000 0.000
Mn1 0.500 0.500 0.500
Cu1 0.000 0.000 0.500



20.
# NpTl2ReO6

A relaxed NpTl2ReO6 crystal (PBE-GGA, Alexandria via LeMat-Bulk).

Summary:
DOS(E_F): 0.64 states/eV per atom
E_form (uncorrected): -1.741 eV/atom
ρ: 10.5 Mg/m³

abc: 8.374 8.374 8.374
angles: 90.00 90.00 90.00
Space group Fm-3m (No. 225)
Symmetry-distinct sites (fractional):
Np1 0.000 0.000 0.000
Tl1 0.250 0.250 0.250
Re1 0.000 0.000 0.500
O1 0.000 0.000 0.266